Entry 1:
Here is an optimized crystal structure of Mg6NbSb from Alexandria via LeMat-Bulk. Energies are from PBE-GGA.

Geometry as POSCAR:
```
Mg6NbSb
1.0
-1.483 6.018 -0.775
-3.467 -3.976 3.345
2.750 1.233 4.317
Mg Nb Sb
6 1 1
direct
0.828 0.668 0.500 Mg
0.332 0.172 0.500 Mg
0.680 0.841 0.000 Mg
0.159 0.320 0.000 Mg
0.675 0.325 0.000 Mg
0.167 0.833 0.000 Mg
0.830 0.170 0.500 Nb
0.330 0.670 0.500 Sb
```

Output
Formation energy (no corrections): 48 kJ/mol of formula units
Raw total energy: -2.9072 eV/atom
Distance to the lowest polymorph of the same formula: 20 kJ/mol of formula units
Mass density: 3.5 g/cm3

Entry 2:
Here is an optimized crystal structure of PrDy3Er2Te6 from Alexandria via LeMat-Bulk. Energies are from PBE-GGA.

Geometry as POSCAR:
```
PrDy3Er2Te6
1.0
-2.049 0.845 -3.723
2.974 -7.594 -3.360
-7.203 -3.087 5.785
Pr Dy Er Te
1 3 2 6
direct
0.500 0.000 0.000 Pr
0.500 0.500 0.000 Dy
0.842 0.164 0.683 Dy
0.158 0.836 0.317 Dy
0.836 0.668 0.673 Er
0.164 0.332 0.327 Er
0.326 0.908 0.652 Te
0.669 0.585 0.338 Te
0.674 0.092 0.348 Te
0.003 0.262 0.007 Te
0.997 0.738 0.993 Te
0.331 0.415 0.662 Te
```

Output
Formation energy (no corrections): -1486 kJ/mol of formula units
Raw total energy: -5.1634 eV/atom
Mass density: 8.1 g/cm3

| no. | Fermi-level density of states (states/eV per atom) |
| --- | --- |
| 1 | 0.557 |
| 2 | 0.559 |